{
  "formula": "BaPaAlO5",
  "functional": "PBE-GGA",
  "state": "relaxed",
  "total_energy_ev_per_atom": -8.269,
  "dos_at_fermi_per_ev_atom": 0.000,
  "raw_formation_energy_mev_per_atom": -3275,
  "total_magnetization_mub_per_cell": 0.0,
  "space_group": "C2/c, No. 15",
  "lattice": [[6.148, 0.022, -0.044], [-1.774, 5.887, -0.044], [-1.871, -2.527, 7.403]],
  "species": ["O", "Al", "O", "O", "O", "O", "Al", "Pa", "Pa", "O", "Ba", "Ba", "O", "O", "O", "O"],
  "frac_coords": [[0.882, 0.296, 0.116], [0.313, 0.687, 0.750], [0.704, 0.118, 0.384], [0.382, 0.238, 0.106], [0.762, 0.618, 0.394], [0.238, 0.382, 0.606], [0.687, 0.313, 0.250], [0.000, 0.000, 0.500], [0.000, 0.000, 0.000], [0.118, 0.704, 0.884], [0.337, 0.663, 0.250], [0.663, 0.337, 0.750], [0.073, 0.927, 0.250], [0.927, 0.073, 0.750], [0.296, 0.882, 0.616], [0.618, 0.762, 0.894]]
}